[1]
Compound: SiTcIrC2
Source: Alexandria
Functional: PBE-GGA
Structure: relaxed

a = 3.8271 Å, b = 5.3632 Å, c = 3.8271 Å
α = 90.00°, β = 90.00°, γ = 90.00°
Each line ends with the local moment (μB).
Element x y z (fractional)
Tc 0.5000 0.5000 0.5000  2.58
Ir 0.0000 0.0000 0.0000  0.08
C 0.5000 0.0000 0.0000  -0.09
C 0.0000 0.0000 0.5000  -0.18
Si 0.0000 0.5000 0.0000  -0.05

N(E_F): 0.542 states/eV/atom
Calculated total energy: -34.665 eV per cell
ΔE_f (raw): 1.686 eV/atom
Space group: P4/mmm (123)


[2]
Compound: ThSiIrC
Source: Alexandria
Functional: PBE-GGA
Structure: relaxed

a = 3.9991 Å, b = 3.9991 Å, c = 8.3928 Å
α = 90.00°, β = 90.00°, γ = 90.00°
Element x y z (fractional)
Ir 0.5000 0.5000 0.5000
Ir 0.0000 0.0000 0.5000
C 0.5000 0.0000 0.8741
Th 0.5000 0.0000 0.1617
Th 0.0000 0.5000 0.8383
Si 0.0000 0.5000 0.3453
Si 0.5000 0.0000 0.6547
C 0.0000 0.5000 0.1259

N(E_F): 0.578 states/eV/atom
Calculated total energy: -67.898 eV per cell
ΔE_f (raw): -0.755 eV/atom
Space group: P4/nmm (129)


[3]
Compound: USiIrC
Source: Alexandria
Functional: PBE-GGA
Structure: relaxed

a = 3.8847 Å, b = 3.8847 Å, c = 8.2059 Å
α = 90.00°, β = 90.00°, γ = 90.00°
Each line ends with the local moment (μB).
Element x y z (fractional)
Ir 0.0000 0.0000 0.5000  -0.05
U 0.5000 0.0000 0.1599  1.48
C 0.0000 0.5000 0.1112  -0.07
Si 0.5000 0.0000 0.6646  -0.01
Ir 0.5000 0.5000 0.5000  -0.05
C 0.5000 0.0000 0.8888  -0.07
Si 0.0000 0.5000 0.3354  -0.01
U 0.0000 0.5000 0.8401  1.48

N(E_F): 1.677 states/eV/atom
Calculated total energy: -73.155 eV per cell
ΔE_f (raw): -0.445 eV/atom
Space group: P4/nmm (129)


[4]
Compound: VSiIr2C
Source: Alexandria
Functional: PBE-GGA
Structure: relaxed

a = 4.5958 Å, b = 3.7915 Å, c = 4.5958 Å
α = 90.00°, β = 90.00°, γ = 90.00°
Element x y z (fractional)
Ir 0.5000 0.0000 0.0000
Si 0.5000 0.5000 0.5000
C 0.0000 0.5000 0.0000
V 0.0000 0.0000 0.0000
Ir 0.0000 0.0000 0.5000

N(E_F): 1.313 states/eV/atom
Calculated total energy: -33.987 eV per cell
ΔE_f (raw): 1.500 eV/atom
Space group: P4/mmm (123)


[5]
Compound: SnIr3C
Source: Alexandria
Functional: PBE-GGA
Structure: relaxed

a = 4.1881 Å, b = 4.1881 Å, c = 4.1881 Å
α = 90.00°, β = 90.00°, γ = 90.00°
Element x y z (fractional)
Sn 0.5000 0.5000 0.5000
Ir 0.0000 0.5000 0.0000
Ir 0.0000 0.0000 0.5000
Ir 0.5000 0.0000 0.0000
C 0.0000 0.0000 0.0000

N(E_F): 1.349 states/eV/atom
Calculated total energy: -37.466 eV per cell
Energy above the lowest structure with this stoichiometry: 0 meV/atom
Space group: Pm-3m (221)
DFT formation energy: 0.469 eV/atom


[6]
Compound: SnIr2C
Source: Alexandria
Functional: PBE-GGA
Structure: relaxed

a = 4.3654 Å, b = 4.3654 Å, c = 4.3654 Å
α = 60.00°, β = 60.00°, γ = 60.00°
Element x y z (fractional)
Ir 0.7500 0.7500 0.7500
C 0.0000 0.0000 0.0000
Ir 0.2500 0.2500 0.2500
Sn 0.5000 0.5000 0.5000

N(E_F): 1.047 states/eV/atom
Calculated total energy: -25.625 eV per cell
Energy above the lowest structure with this stoichiometry: 974 meV/atom
Space group: Fm-3m (225)
DFT formation energy: 1.331 eV/atom


[7]
Compound: Sn2IrC
Source: Alexandria
Functional: PBE-GGA
Structure: relaxed

a = 5.9025 Å, b = 5.9025 Å, c = 6.2762 Å
α = 61.95°, β = 61.95°, γ = 90.00°
Element x y z (fractional)
Sn 0.5696 0.1250 0.2500
Sn 0.3750 0.4304 0.7500
C 0.2500 0.7500 0.5000
Sn 0.8750 0.8196 0.7500
Ir 0.7500 0.2500 0.5000
Sn 0.1804 0.6250 0.2500
C 0.5000 0.5000 0.0000
Ir 0.0000 0.0000 0.0000

N(E_F): 0.611 states/eV/atom
Calculated total energy: -46.236 eV per cell
Space group: I-42d (122)
DFT formation energy: 0.743 eV/atom


[8]
Compound: SnIr3C
Source: Alexandria
Functional: PBE-GGA
Structure: relaxed

a = 4.8768 Å, b = 4.8768 Å, c = 4.8768 Å
α = 90.00°, β = 90.00°, γ = 90.00°
Each line ends with the local moment (μB).
Element x y z (fractional)
Ir 0.5000 0.0000 0.0000  0.41
Sn 0.0000 0.0000 0.0000  -0.02
C 0.5000 0.5000 0.5000  -0.23
Ir 0.0000 0.0000 0.5000  0.54
Ir 0.0000 0.5000 0.0000  0.56

N(E_F): 0.795 states/eV/atom
Calculated total energy: -23.501 eV per cell
Energy above the lowest structure with this stoichiometry: 2793 meV/atom
Space group: Pm-3m (221)
DFT formation energy: 3.262 eV/atom


[9]
Compound: SnIr2C
Source: Alexandria
Functional: PBE-GGA
Structure: relaxed

a = 5.3854 Å, b = 5.3854 Å, c = 6.2062 Å
α = 64.29°, β = 64.29°, γ = 90.00°
Element x y z (fractional)
Sn 0.0000 0.0000 0.0000
Ir 0.2322 0.6250 0.2500
Sn 0.7500 0.2500 0.5000
C 0.2500 0.7500 0.5000
C 0.5000 0.5000 0.0000
Ir 0.8750 0.7678 0.7500
Ir 0.3750 0.4822 0.7500
Ir 0.5178 0.1250 0.2500

N(E_F): 0.405 states/eV/atom
Calculated total energy: -59.041 eV per cell
Energy above the lowest structure with this stoichiometry: 0 meV/atom
Space group: I-42d (122)
DFT formation energy: 0.357 eV/atom


[10]
Compound: SnIrC2
Source: Alexandria
Functional: PBE-GGA
Structure: relaxed

a = 4.9819 Å, b = 4.9819 Å, c = 5.9108 Å
α = 65.08°, β = 65.08°, γ = 90.00°
Element x y z (fractional)
C 0.0831 0.6250 0.2500
C 0.3750 0.3331 0.7500
C 0.6669 0.1250 0.2500
Ir 0.7500 0.2500 0.5000
C 0.8750 0.9169 0.7500
Sn 0.5000 0.5000 0.0000
Ir 0.0000 0.0000 0.0000
Sn 0.2500 0.7500 0.5000

N(E_F): 0.470 states/eV/atom
Calculated total energy: -54.939 eV per cell
Space group: I-42d (122)
DFT formation energy: 0.960 eV/atom


[11]
Compound: Sr2SnIrC
Source: Alexandria
Functional: PBE-GGA
Structure: relaxed

a = 5.6279 Å, b = 5.6279 Å, c = 3.8893 Å
α = 90.00°, β = 90.00°, γ = 90.00°
Element x y z (fractional)
Sn 0.5000 0.5000 0.5000
C 0.0000 0.0000 0.0000
Sr 0.5000 0.0000 0.0000
Sr 0.0000 0.5000 0.0000
Ir 0.0000 0.0000 0.5000

N(E_F): 0.829 states/eV/atom
Calculated total energy: -26.572 eV per cell
Space group: P4/mmm (123)
DFT formation energy: -0.224 eV/atom


[12]
Compound: SnTeIr2C
Source: Alexandria
Functional: PBE-GGA
Structure: relaxed

a = 4.8439 Å, b = 5.9365 Å, c = 4.8439 Å
α = 90.00°, β = 90.00°, γ = 90.00°
Each line ends with the local moment (μB).
Element x y z (fractional)
Ir 0.5000 0.0000 0.0000  0.07
Ir 0.0000 0.0000 0.5000  0.06
Te 0.0000 0.0000 0.0000  0.00
C 0.5000 0.5000 0.5000  0.75
Sn 0.0000 0.5000 0.0000  -0.02

N(E_F): 1.163 states/eV/atom
Calculated total energy: -20.905 eV per cell
ΔE_f (raw): 2.637 eV/atom
Space group: P4/mmm (123)